1.
Y2Zn5Cu5, relaxed, DFT GGA-PBE; space-group type = Pmmm
1.0
4.0666 0.0000 0.0000
0.0000 5.2038 0.0000
0.0000 0.0000 9.1362
Y Zn Cu
2 5 5
direct
0.0000 0.0000 0.0000
0.0000 0.5000 0.5000
0.0000 0.0000 0.3260
0.0000 0.0000 0.6740
0.0000 0.5000 0.1668
0.0000 0.5000 0.8332
0.5000 0.0000 0.5000
0.5000 0.2519 0.2490
0.5000 0.2519 0.7510
0.5000 0.5000 0.0000
0.5000 0.7481 0.2490
0.5000 0.7481 0.7510


2.
YZnCu3, relaxed, DFT GGA-PBE; space-group type = I4mm; polymorph energy (0 for the lowest one) = 0 meV/atom
1.0
-2.0444 2.0444 5.0104
2.0444 -2.0444 5.0104
2.0444 2.0444 -5.0104
Y Zn Cu
1 1 3
direct
0.0000 0.0000 0.0000
0.6245 0.6245 0.0000
0.2577 0.7577 0.5000
0.3886 0.3886 0.0000
0.7577 0.2577 0.5000


Taking the records one at a time from the top gives E_form values of -3.08, -0.83 eV per formula unit.
Taking the records one at a time from the top gives total magnetic moment values of 0.0, 0.0 μB per formula unit.